(1)
VASP calculation (PBE-GGA) on a relaxed structure of PrEr2In3Te6.

Summary:
V (Å³/atom): 34.688
Formation energy from raw total energies (eV per formula unit): -11.574
SG: C2/m (12)
Density of states at the Fermi level (states/eV per atom): 0.084

Unit cell a=7.6971 b=7.6971 c=8.5072 alpha=98.68 beta=98.68 gamma=119.97
Closest atoms and distances in Å follow each position.
Element x y z (fractional)
Pr  0.0000  0.0000  0.0000  6 Te 3.19-3.20
Er  0.3329  0.6671  0.0000  6 Te 3.09-3.10
Er  0.6671  0.3329  0.0000  6 Te 3.09-3.10
In  0.1634  0.8366  0.5000  6 Te 3.38-3.45
In  0.5000  0.5000  0.5000  6 Te 3.37-3.45
In  0.8366  0.1634  0.5000  6 Te 3.38-3.45
Te  0.0741  0.4186  0.2215  2 Er 3.09-3.10, 1 Pr 3.20, 3 In 3.38-3.45
Te  0.2721  0.2721  0.7819  2 Er 3.09, 1 Pr 3.19, 3 In 3.37-3.44
Te  0.4186  0.0741  0.2215  2 Er 3.09-3.10, 1 Pr 3.20, 3 In 3.38-3.45
Te  0.5814  0.9259  0.7785  2 Er 3.09-3.10, 1 Pr 3.20, 3 In 3.38-3.45
Te  0.7279  0.7279  0.2181  2 Er 3.09, 1 Pr 3.19, 3 In 3.37-3.44
Te  0.9259  0.5814  0.7785  2 Er 3.09-3.10, 1 Pr 3.20, 3 In 3.38-3.45

=====

(2)
VASP calculation (PBE-GGA) on a relaxed structure of ZrIrSe.

Summary:
V (Å³/atom): 19.653
Formation energy from raw total energies (eV per formula unit): -1.519
SG: Cm (8)
Density of states at the Fermi level (states/eV per atom): 0.655

Unit cell a=5.6076 b=5.6076 c=3.4088 alpha=90.57 beta=90.57 gamma=33.37
Closest atoms and distances in Å follow each position.
Element x y z (fractional)
Zr  0.0000  0.0000  0.0000  4 Ir 2.78, 4 Se 2.86-2.88
Ir  0.6383  0.6383  0.5046  2 Se 2.75, 4 Zr 2.78
Se  0.3458  0.3458  0.4985  2 Ir 2.75, 4 Zr 2.86-2.88

=====

(3)
VASP calculation (PBE-GGA) on a relaxed structure of Tm5SnSe4.

Summary:
V (Å³/atom): 24.269
Formation energy from raw total energies (eV per formula unit): -14.840
SG: I4/m (87)
Density of states at the Fermi level (states/eV per atom): 0.447

Unit cell a=7.0936 b=7.0936 c=7.0936 alpha=99.57 beta=99.57 gamma=131.87
Closest atoms and distances in Å follow each position.
Element x y z (fractional)
Tm  0.0000  0.0000  0.0000  2 Sn 2.89, 4 Se 2.91
Tm  0.1950  0.6007  0.7957  5 Se 2.87-2.89, 1 Sn 2.94
Tm  0.3993  0.1950  0.5943  5 Se 2.87-2.89, 1 Sn 2.94
Tm  0.6007  0.8050  0.4057  5 Se 2.87-2.89, 1 Sn 2.94
Tm  0.8050  0.3993  0.2043  5 Se 2.87-2.89, 1 Sn 2.94
Sn  0.5000  0.5000  0.0000  6 Tm 2.89-2.94
Se  0.1021  0.3009  0.4030  6 Tm 2.87-2.91
Se  0.3009  0.8979  0.1988  6 Tm 2.87-2.91
Se  0.6991  0.1021  0.8012  6 Tm 2.87-2.91
Se  0.8979  0.6991  0.5970  6 Tm 2.87-2.91

=====

(4)
VASP calculation (PBE-GGA) on a relaxed structure of TcIr2Pt.

Summary:
V (Å³/atom): 14.771
Energy of formation from the pure elements (eV per atom): -0.141
SG: P4/mmm (123)
Density of states at the Fermi level (states/eV per atom): 0.944

Unit cell a=2.7425 b=2.7425 c=7.8555 alpha=90.00 beta=90.00 gamma=90.00
Closest atoms and distances in Å follow each position.
Element x y z (fractional)
Tc  0.0000  0.0000  0.0000  8 Ir 2.69, 4 Tc 2.74
Ir  0.5000  0.5000  0.2375  4 Tc 2.69, 4 Ir 2.74, 4 Pt 2.83
Ir  0.5000  0.5000  0.7625  4 Tc 2.69, 4 Ir 2.74, 4 Pt 2.83
Pt  0.0000  0.0000  0.5000  4 Pt 2.74, 8 Ir 2.83

=====

(5)
VASP calculation (PBE-GGA) on a relaxed structure of TaSi4Tc.

Summary:
V (Å³/atom): 13.838
Formation energy from raw total energies (eV per formula unit): -2.762
SG: C2/m (12)
Density of states at the Fermi level (states/eV per atom): 0.195

Unit cell a=4.5778 b=4.5778 c=6.5093 alpha=110.81 beta=110.81 gamma=41.13
Closest atoms and distances in Å follow each position.
Element x y z (fractional)
Ta  0.0000  0.0000  0.0000  10 Si 2.64-2.66
Si  0.3334  0.3334  0.1707  2 Tc 2.63, 5 Si 2.64-2.68, 3 Ta 2.64-2.66
Si  0.3336  0.3336  0.6642  5 Si 2.62-2.64, 3 Tc 2.63-2.65, 2 Ta 2.65
Si  0.6664  0.6664  0.3358  5 Si 2.62-2.64, 3 Tc 2.63-2.65, 2 Ta 2.65
Si  0.6666  0.6666  0.8293  2 Tc 2.63, 5 Si 2.64-2.68, 3 Ta 2.64-2.66
Tc  0.0000  0.0000  0.5000  10 Si 2.63-2.65

=====

(6)
VASP calculation (PBE-GGA) on a relaxed structure of BiTe2WI.

Summary:
V (Å³/atom): 30.845
Formation energy from raw total energies (eV per formula unit): 3.249
SG: P4/mmm (123)
Density of states at the Fermi level (states/eV per atom): 1.417

Unit cell a=5.3278 b=5.3278 c=5.4331 alpha=90.00 beta=90.00 gamma=90.00
Closest atoms and distances in Å follow each position.
Element x y z (fractional)
Bi  0.0000  0.0000  0.0000  4 I 3.77, 8 Te 3.80
Te  0.0000  0.5000  0.5000  2 W 2.66
Te  0.5000  0.0000  0.5000  2 W 2.66
W  0.5000  0.5000  0.5000  4 Te 2.66, 2 I 2.72
I  0.5000  0.5000  0.0000  2 W 2.72

=====

(7)
VASP calculation (PBE-GGA) on a relaxed structure of YCu4.

Summary:
V (Å³/atom): 16.013
Energy of formation from the pure elements (eV per atom): -0.121
SG: I-43m (217)
Density of states at the Fermi level (states/eV per atom): 0.422

Unit cell a=7.4651 b=7.4651 c=7.4651 alpha=109.47 beta=109.47 gamma=109.47
Closest atoms and distances in Å follow each position.
Element x y z (fractional)
Y  0.0000  0.0000  0.5701  7 Cu 2.74-3.06
Y  0.0000  0.5701  0.0000  7 Cu 2.74-3.06
Y  0.4299  0.4299  0.4299  7 Cu 2.74-3.06
Y  0.5701  0.0000  0.0000  7 Cu 2.74-3.06
Cu  0.0000  0.0000  0.2032  6 Cu 2.48-2.52, 1 Y 2.74
Cu  0.0000  0.2032  0.0000  6 Cu 2.48-2.52, 1 Y 2.74
Cu  0.0000  0.3559  0.3559  7 Cu 2.48-2.52
Cu  0.0000  0.6441  0.6441  7 Cu 2.48-2.52
Cu  0.2032  0.0000  0.0000  6 Cu 2.48-2.52, 1 Y 2.74
Cu  0.2500  0.5000  0.7500  4 Cu 2.49
Cu  0.2500  0.7500  0.5000  4 Cu 2.49
Cu  0.3559  0.0000  0.3559  7 Cu 2.48-2.52
Cu  0.3559  0.3559  0.0000  7 Cu 2.48-2.52
Cu  0.5000  0.2500  0.7500  4 Cu 2.49
Cu  0.5000  0.7500  0.2500  4 Cu 2.49
Cu  0.6441  0.0000  0.6441  7 Cu 2.48-2.52
Cu  0.6441  0.6441  0.0000  7 Cu 2.48-2.52
Cu  0.7500  0.2500  0.5000  4 Cu 2.49
Cu  0.7500  0.5000  0.2500  4 Cu 2.49
Cu  0.7968  0.7968  0.7968  6 Cu 2.48-2.52, 1 Y 2.74

=====

(8)
VASP calculation (PBE-GGA) on a relaxed structure of Sm6InSn2.

Summary:
V (Å³/atom): 31.307
Energy of formation from the pure elements (eV per atom): -0.482
SG: P-62m (189)
Density of states at the Fermi level (states/eV per atom): 0.889

Unit cell a=8.4880 b=8.4880 c=4.5157 alpha=90.00 beta=90.00 gamma=120.00
Closest atoms and distances in Å follow each position.
Element x y z (fractional)
Sm  0.0000  0.4081  0.0000  4 Sn 3.42, 1 In 3.46, 6 Sm 3.62-3.78
Sm  0.0000  0.7408  0.5000  2 In 3.15, 2 Sn 3.19
Sm  0.2592  0.2592  0.5000  2 In 3.15, 2 Sn 3.19
Sm  0.4081  0.0000  0.0000  4 Sn 3.42, 1 In 3.46, 6 Sm 3.62-3.78
Sm  0.5919  0.5919  0.0000  4 Sn 3.42, 1 In 3.46, 6 Sm 3.62-3.78
Sm  0.7408  0.0000  0.5000  2 In 3.15, 2 Sn 3.19
In  0.0000  0.0000  0.0000  9 Sm 3.15-3.46
Sn  0.3333  0.6667  0.5000  9 Sm 3.19-3.42
Sn  0.6667  0.3333  0.5000  9 Sm 3.19-3.42